Li4ZnIr | Alexandria | GGA-PBE | optimized geometry; formation enthalpy at 0 K = -0.17 eV/atom; SG = No. 12
1.0
4.8755 0.7746 -1.0893
2.3792 4.3255 -1.0893
-1.0200 -0.7171 8.9686
Li Zn Ir
8 2 2
Direct
0.9389 0.4387 0.2733
0.8021 0.3021 0.4689
0.3021 0.8021 0.9689
0.5613 0.0611 0.2267
0.4387 0.9389 0.7733
0.1979 0.6979 0.5311
0.6979 0.1979 0.0311
0.0611 0.5613 0.7267
0.5000 0.0000 0.5000
0.0000 0.5000 0.0000
0.7500 0.2500 0.7500
0.2500 0.7500 0.2500

Li4ZnIr | Alexandria | GGA-PBE | optimized geometry; formation enthalpy at 0 K = -0.16 eV/atom; SG = No. 2
1.0
4.5706 -0.0068 0.9683
-2.4381 3.8859 0.9478
0.0879 0.1558 4.8245
Zn Ir Li
1 1 4
Direct
0.4982 0.0029 0.0013
0.9982 0.5027 0.5013
0.1574 0.3446 0.0009
0.6650 0.8364 0.5009
0.3313 0.1689 0.5016
0.8388 0.6609 0.0018

Li2Zn5Ir | Alexandria | GGA-PBE | optimized geometry; formation enthalpy at 0 K = -0.21 eV/atom; SG = No. 107
1.0
-2.1321 -0.9240 -4.7243
3.5742 -3.6464 1.2850
-3.8427 -0.1124 3.5977
Li Zn Ir
2 5 1
Direct
0.2779 0.7780 0.5000
0.7778 0.2780 0.5000
0.2781 0.7775 0.0000
0.2776 0.2773 0.0000
0.7778 0.2779 0.0000
0.7774 0.7778 0.4996
0.2779 0.2782 0.5004
0.7785 0.7783 0.0000

LiZn2Ir | Alexandria | GGA-PBE | optimized geometry; formation enthalpy at 0 K = -0.12 eV/atom; SG = No. 99
1.0
3.1976 0.0000 0.0000
0.0000 3.1976 0.0000
0.0000 0.0000 5.4286
Li Zn Ir
1 2 1
Direct
0.5000 0.5000 0.7409
0.0000 0.0000 0.9881
0.5000 0.5000 0.2682
0.0000 0.0000 0.5027

Li6Zn12Ir | Alexandria | GGA-PBE | optimized geometry; formation enthalpy at 0 K = -0.16 eV/atom; SG = No. 148
1.0
6.5580 0.3785 0.4534
-0.6201 6.5396 0.4534
-0.6201 -0.7225 6.5153
Zn Li Ir
12 6 1
Direct
0.9570 0.8516 0.6311
0.1484 0.3689 0.0430
0.6311 0.9570 0.8516
0.5266 0.4541 0.7968
0.4734 0.5459 0.2032
0.7968 0.5266 0.4541
0.4541 0.7968 0.5266
0.0430 0.1484 0.3689
0.5459 0.2032 0.4734
0.3689 0.0430 0.1484
0.2032 0.4734 0.5459
0.8516 0.6311 0.9570
0.2593 0.7288 0.8847
0.7407 0.2712 0.1153
0.7288 0.8847 0.2593
0.2712 0.1153 0.7407
0.8847 0.2593 0.7288
0.1153 0.7407 0.2712
0.0000 0.0000 0.0000

Li2Zn3Ir2 | Alexandria | GGA-PBE | optimized geometry; formation enthalpy at 0 K = -0.23 eV/atom; SG = No. 14
1.0
-2.8500 3.0981 -1.2342
-5.5916 -2.6768 6.1311
2.2865 3.5519 3.6361
Li Zn Ir
4 6 4
Direct
0.9995 0.6325 0.9662
0.0005 0.8675 0.4662
0.9995 0.1325 0.5338
0.0005 0.3675 0.0338
0.0000 0.0000 0.0000
0.5009 0.2378 0.9948
0.4991 0.2622 0.4948
0.4991 0.7622 0.0052
0.5009 0.7378 0.5052
0.0000 0.5000 0.5000
0.4999 0.0012 0.2656
0.5001 0.4988 0.7656
0.5001 0.9988 0.7344
0.4999 0.5012 0.2344

Li6Zn2Ir | Alexandria | GGA-PBE | optimized geometry; formation enthalpy at 0 K = -0.11 eV/atom; SG = No. 12
1.0
0.0897 -1.8114 -2.3428
6.3983 3.0287 -2.7682
-0.2778 -6.3240 4.2076
Ir Li Zn
1 6 2
Direct
0.0000 0.0000 0.0000
0.8590 0.1575 0.4911
0.1410 0.8425 0.5089
0.6243 0.6979 0.6979
0.1410 0.5089 0.8425
0.8590 0.4911 0.1575
0.3757 0.3021 0.3021
0.5000 0.8425 0.1575
0.5000 0.1575 0.8425

Li2ZnIr | Alexandria | GGA-PBE | optimized geometry; formation enthalpy at 0 K = -0.21 eV/atom; SG = No. 119
1.0
4.1819 -0.6885 -0.2001
0.7238 4.1759 0.2001
-2.3364 -1.9075 3.0049
Ir Li Zn
1 2 1
Direct
0.2500 0.7500 0.5000
0.7500 0.2500 0.5000
0.0000 0.0000 0.0000
0.5000 0.5000 0.0000

Number 1: calculated volume 166.7 Å³/cell. Number 2: calculated volume 84.2 Å³/cell. Number 3: calculated volume 112.2 Å³/cell. Number 4: calculated volume 55.5 Å³/cell. Number 5: calculated volume 285.0 Å³/cell. Number 6: calculated volume 213.2 Å³/cell. Number 7: calculated volume 139.8 Å³/cell. Number 8: calculated volume 54.2 Å³/cell.